Density functional theory data (PBE with a Hubbard U) for an optimized crystal structure of Ba3NiO.

Cell: 5.4240 5.4240 5.4240 Å, 90.00 90.00 90.00°
Closest atoms and distances in Å follow each position.
Positions (direct):
Ba1 0.0000 0.0000 0.5000  2 O 2.71
Ba2 0.0000 0.5000 0.0000  2 O 2.71
Ba3 0.5000 0.0000 0.0000  2 O 2.71
Ni1 0.5000 0.5000 0.5000  12 Ba 3.84
O1 0.0000 0.0000 0.0000  6 Ba 2.71

Properties
excess energy over the best structure of this formula in the dataset: 0.0 meV/atom
size of the total moment: 0.000 μB/atom
density of states at the Fermi level: 4.9 states/eV/f.u.
raw total energy: -3.149 eV/atom